(1)
SrTmCl5 | PBE | relaxed

Values from the calculation:
Space group: No. 15
Magnetic moment: 0.00 μB/f.u.
ΔE_f (raw): -2.3011 eV/atom

a b c (Å): 7.144 7.144 9.897
angles (deg): 106.27 106.27 93.40
Fractional positions:
Sr: 0.078 0.922 0.750
Sr: 0.922 0.078 0.250
Tm: 0.000 0.500 0.000
Tm: 0.500 0.000 0.500
Cl: 0.196 0.215 0.046
Cl: 0.215 0.196 0.546
Cl: 0.218 0.606 0.863
Cl: 0.220 0.780 0.250
Cl: 0.394 0.782 0.637
Cl: 0.606 0.218 0.363
Cl: 0.780 0.220 0.750
Cl: 0.782 0.394 0.137
Cl: 0.785 0.804 0.454
Cl: 0.804 0.785 0.954

(2)
SrUCl6 | PBE | relaxed

Values from the calculation:
Space group: No. 12
Magnetic moment: 2.00 μB/f.u.
Energy above the most stable polymorph in this dataset: 9 meV/atom
ΔE_f (raw): -1.9903 eV/atom

a b c (Å): 7.013 7.013 6.978
angles (deg): 97.38 97.38 119.93
Fractional positions:
Sr: 0.000 0.000 0.000
U: 0.500 0.500 0.500
Cl: 0.132 0.427 0.266
Cl: 0.254 0.254 0.729
Cl: 0.427 0.132 0.266
Cl: 0.573 0.868 0.734
Cl: 0.746 0.746 0.271
Cl: 0.868 0.573 0.734

(3)
SrUCl6 | PBE | relaxed

Values from the calculation:
Space group: No. 2
Magnetic moment: 2.00 μB/f.u.
Energy above the most stable polymorph in this dataset: 0 meV/atom
ΔE_f (raw): -1.9988 eV/atom

a b c (Å): 6.970 6.976 7.592
angles (deg): 62.73 62.68 60.05
Fractional positions:
Sr: 0.000 0.000 0.000
U: 0.500 0.500 0.500
Cl: 0.115 0.417 0.739
Cl: 0.271 0.884 0.262
Cl: 0.417 0.730 0.738
Cl: 0.583 0.270 0.262
Cl: 0.729 0.116 0.738
Cl: 0.885 0.583 0.261

(4)
SrV2Cl6 | PBE | relaxed

Values from the calculation:
Space group: No. 162
Magnetic moment: 6.00 μB/f.u.
ΔE_f (raw): -1.5587 eV/atom

a b c (Å): 6.475 6.475 6.285
angles (deg): 90.00 90.00 120.00
Fractional positions:
Sr: 0.000 0.000 0.000
V: 0.333 0.667 0.500
V: 0.667 0.333 0.500
Cl: 0.000 0.364 0.721
Cl: 0.000 0.636 0.279
Cl: 0.364 0.000 0.721
Cl: 0.364 0.364 0.279
Cl: 0.636 0.000 0.279
Cl: 0.636 0.636 0.721

(5)
SrVCl4 | PBE | relaxed

Values from the calculation:
Space group: No. 12
Magnetic moment: 3.00 μB/f.u.
ΔE_f (raw): -1.7369 eV/atom

a b c (Å): 6.694 6.694 6.995
angles (deg): 103.13 103.13 34.55
Fractional positions:
Sr: 0.000 0.000 0.000
V: 0.500 0.500 0.500
Cl: 0.107 0.107 0.416
Cl: 0.383 0.383 0.159
Cl: 0.617 0.617 0.841
Cl: 0.893 0.893 0.584

(6)
Sr3VCl | PBE | relaxed

Values from the calculation:
Space group: No. 221
Magnetic moment: 5.03 μB/f.u.
Energy above the most stable polymorph in this dataset: 0 meV/atom
ΔE_f (raw): -0.0599 eV/atom

a b c (Å): 5.786 5.786 5.786
angles (deg): 90.00 90.00 90.00
Fractional positions:
Sr: 0.000 0.000 0.500
Sr: 0.000 0.500 0.000
Sr: 0.500 0.000 0.000
V: 0.500 0.500 0.500
Cl: 0.000 0.000 0.000

(7)
Sr3VCl8 | PBE | relaxed

Values from the calculation:
Space group: No. 21
Magnetic moment: 3.00 μB/f.u.
ΔE_f (raw): -2.0951 eV/atom

a b c (Å): 7.428 7.428 8.083
angles (deg): 90.00 90.00 113.34
Fractional positions:
Sr: 0.000 0.000 0.000
Sr: 0.000 0.500 0.740
Sr: 0.500 0.000 0.260
V: 0.000 0.000 0.500
Cl: 0.202 0.798 0.500
Cl: 0.208 0.235 0.720
Cl: 0.233 0.767 0.000
Cl: 0.235 0.208 0.280
Cl: 0.765 0.792 0.280
Cl: 0.767 0.233 0.000
Cl: 0.792 0.765 0.720
Cl: 0.798 0.202 0.500

(8)
SrVCl3 | PBE | relaxed

Values from the calculation:
Space group: No. 221
Magnetic moment: 3.72 μB/f.u.
Energy above the most stable polymorph in this dataset: 0 meV/atom
ΔE_f (raw): -1.2506 eV/atom

a b c (Å): 4.988 4.988 4.988
angles (deg): 90.00 90.00 90.00
Fractional positions:
Sr: 0.000 0.000 0.000
V: 0.500 0.500 0.500
Cl: 0.000 0.500 0.500
Cl: 0.500 0.000 0.500
Cl: 0.500 0.500 0.000

(9)
SrVCl3 | PBE | relaxed

Values from the calculation:
Space group: No. 221
Magnetic moment: 4.00 μB/f.u.
Energy above the most stable polymorph in this dataset: 373 meV/atom
ΔE_f (raw): -0.8775 eV/atom

a b c (Å): 5.605 5.605 5.605
angles (deg): 90.00 90.00 90.00
Fractional positions:
Sr: 0.000 0.000 0.000
V: 0.500 0.500 0.500
Cl: 0.000 0.000 0.500
Cl: 0.000 0.500 0.000
Cl: 0.500 0.000 0.000

(10)
SrWCl4 | PBE | relaxed

Values from the calculation:
Space group: No. 216
Magnetic moment: 6.22 μB/f.u.
ΔE_f (raw): 0.4652 eV/atom

a b c (Å): 6.027 6.027 6.027
angles (deg): 60.00 60.00 60.00
Fractional positions:
Sr: 0.000 0.000 0.000
W: 0.750 0.750 0.750
Cl: 0.375 0.375 0.375
Cl: 0.375 0.375 0.875
Cl: 0.375 0.875 0.375
Cl: 0.875 0.375 0.375

(11)
Sr2WCl | PBE | relaxed

Values from the calculation:
Space group: No. 47
Magnetic moment: 0.00 μB/f.u.
Energy above the most stable polymorph in this dataset: 268 meV/atom
ΔE_f (raw): 0.2960 eV/atom

a b c (Å): 3.286 5.423 6.134
angles (deg): 90.00 90.00 90.00
Fractional positions:
Sr: 0.000 0.000 0.000
Sr: 0.500 0.500 0.500
W: 0.000 0.000 0.500
Cl: 0.500 0.500 0.000

(12)
SrWCl6 | PBE | relaxed

Values from the calculation:
Space group: No. 12
Magnetic moment: 2.00 μB/f.u.
ΔE_f (raw): -1.3605 eV/atom

a b c (Å): 6.758 6.758 6.533
angles (deg): 97.71 97.71 119.78
Fractional positions:
Sr: 0.000 0.000 0.000
W: 0.500 0.500 0.500
Cl: 0.163 0.456 0.272
Cl: 0.253 0.253 0.698
Cl: 0.456 0.163 0.272
Cl: 0.544 0.837 0.728
Cl: 0.747 0.747 0.302
Cl: 0.837 0.544 0.728